(1)
This record from Alexandria via LeMat-Bulk describes an optimized crystal structure of SrPbNF2. The functional is PBE-GGA.

Cell and atoms, written as POSCAR:
```
SrPbNF2
1.0
4.6722 0.0000 0.0000
0.0000 4.6722 0.0000
0.0000 0.0000 4.4520
F Pb Sr N
2 1 1 1
direct
0.5000 0.0000 0.0000 F
0.0000 0.5000 0.0000 F
0.0000 0.0000 0.0000 Pb
0.5000 0.5000 0.5000 Sr
0.0000 0.0000 0.5000 N
```

Values from the calculation:
Raw formation energy in eV per atom: -1.394
Total moment in μB/cell: 0.00
Excess energy over the best structure of this formula in the dataset in eV per formula unit: 0.00

(2)
This record from Alexandria via LeMat-Bulk describes an optimized crystal structure of ZnCo2Au. The functional is PBE-GGA.

Cell and atoms, written as POSCAR:
```
ZnCo2Au
1.0
4.5779 0.0008 -0.0674
1.4181 4.3527 0.0674
-2.9482 -2.2454 2.6885
Zn Co Au
1 2 1
direct
0.5004 0.5004 0.0000 Zn
0.9990 0.9990 0.0000 Co
0.7510 0.2510 0.5000 Co
0.2496 0.7496 0.5000 Au
```

Values from the calculation:
Total moment in μB/cell: 3.02
Energy relative to the elements in eV/f.u.: 0.4

| no. | raw total energy (eV per atom) | density of states at the Fermi level (states/eV per atom) |
| --- | --- | --- |
| 1 | -4.89 | 0.007 |
| 2 | -4.60 | 1.187 |